Computed, not measured: a crystal of CuSCl2O relaxed with PBEsol at the SCAN level of DFT.

a b c (Å): 4.5857 4.5857 4.4848
angles (deg): 90.00 90.00 90.00
Closest atoms and distances in Å follow each position.
Space group P4/mmm (No. 123)
Asymmetric unit:
Cu 0.0000 0.0000 0.0000 (multiplicity 1)  2 S 2.24, 4 Cl 2.29
S 0.0000 0.0000 0.5000 (multiplicity 1)  2 Cu 2.24
Cl 0.0000 0.5000 0.0000 (multiplicity 2)  2 Cu 2.29
O 0.5000 0.5000 0.5000 (multiplicity 1)  8 Cl 3.21, 4 S 3.24

Properties
Calculated density (Mg/m³): 3.21
D(E_F) (states/eV per cell): 4.1



Computed, not measured: a crystal of Cu3Se2Cl2O6 relaxed with PBEsol at the SCAN level of DFT.

a b c (Å): 6.0869 7.7873 8.4860
angles (deg): 91.42 95.76 91.98
Closest atoms and distances in Å follow each position.
Space group P-1 (No. 2)
Asymmetric unit:
Cu 0.0957 0.4036 0.3720 (multiplicity 2)  4 O 1.91-2.07
Cu 0.3101 0.6028 0.0682 (multiplicity 2)  3 O 1.93-1.97
Cu 0.3933 0.1733 0.5755 (multiplicity 2)  3 O 1.90-1.96
Se 0.0984 0.8243 0.3173 (multiplicity 2)  3 O 1.74-1.76
Se 0.3819 0.7040 0.7222 (multiplicity 2)  3 O 1.72-1.77
Cl 0.0372 0.7337 0.9282 (multiplicity 2)  1 Cu 2.23
Cl 0.4188 0.1256 0.8293 (multiplicity 2)  1 Cu 2.19
O 0.0854 0.2184 0.5416 (multiplicity 2)  1 Se 1.75, 1 Cu 1.91
O 0.1737 0.6160 0.2641 (multiplicity 2)  1 Se 1.76, 1 Cu 1.93
O 0.2100 0.5530 0.6162 (multiplicity 2)  1 Se 1.72, 1 Cu 1.91
O 0.3156 0.8877 0.4574 (multiplicity 2)  1 Se 1.74, 1 Cu 1.90
O 0.3799 0.3046 0.3812 (multiplicity 2)  1 Se 1.77, 2 Cu 1.91-1.96
O 0.4767 0.5774 0.8842 (multiplicity 2)  1 Se 1.77, 2 Cu 1.96-1.97

Properties
Excess energy over the best structure of this formula in the dataset (meV/atom): 20
Calculated density (Mg/m³): 4.28
D(E_F) (states/eV per cell): 0.5



Computed, not measured: a crystal of Cu5Se4Cl2O12 relaxed with PBEsol at the SCAN level of DFT.

a b c (Å): 10.8456 8.2141 7.4769
angles (deg): 90.00 90.31 90.00
Closest atoms and distances in Å follow each position.
Space group P2_1/c (No. 14)
Asymmetric unit:
Cu 0.0000 0.0000 0.0000 (multiplicity 2)  4 O 1.93
Cu 0.1304 0.1305 0.6615 (multiplicity 4)  4 O 1.91-1.99
Cu 0.3602 0.5077 0.9246 (multiplicity 4)  2 O 1.93-1.96
Se 0.1273 0.6924 0.8239 (multiplicity 4)  3 O 1.71-1.80
Se 0.3228 0.0920 0.0022 (multiplicity 4)  3 O 1.73
Cl 0.4638 0.6162 0.1613 (multiplicity 4)  2 Cu 2.26-2.27
O 0.0014 0.2312 0.0492 (multiplicity 4)  1 Se 1.80, 2 Cu 1.93-1.99
O 0.0230 0.5371 0.7533 (multiplicity 4)  1 Se 1.78, 2 Cu 1.93-1.94
O 0.2007 0.0227 0.8745 (multiplicity 4)  1 Se 1.73
O 0.2020 0.6004 0.9991 (multiplicity 4)  1 Se 1.71
O 0.2798 0.2127 0.5634 (multiplicity 4)  1 Se 1.73, 1 Cu 1.91
O 0.2869 0.5233 0.6888 (multiplicity 4)  1 Se 1.73, 1 Cu 1.93

Properties
Calculated density (Mg/m³): 4.47



Computed, not measured: a crystal of Cu3Se2Cl2O6 relaxed with PBEsol at the SCAN level of DFT.

a b c (Å): 9.0840 6.1349 7.6052
angles (deg): 90.00 106.36 90.00
Closest atoms and distances in Å follow each position.
Space group C2/m (No. 12)
Asymmetric unit:
Cu 0.0000 0.0000 0.0000 (multiplicity 2)  4 O 1.92
Cu 0.1057 0.5000 0.8548 (multiplicity 4)  3 O 1.90-2.02
Se 0.1778 0.0000 0.7418 (multiplicity 4)  3 O 1.69-1.79
Cl 0.2088 0.5000 0.6277 (multiplicity 4)  1 Cu 2.18
O 0.0898 0.1909 0.8584 (multiplicity 8)  1 Se 1.79, 2 Cu 1.90-1.92
O 0.1377 0.5000 0.1281 (multiplicity 4)  1 Se 1.69

Properties
Excess energy over the best structure of this formula in the dataset (meV/atom): 0
Calculated density (Mg/m³): 4.21



Computed, not measured: a crystal of Sr2CuSe2Cl2O6 relaxed with PBEsol at the SCAN level of DFT.

a b c (Å): 5.2156 6.5005 13.1899
angles (deg): 90.00 111.66 90.00
Closest atoms and distances in Å follow each position.
Space group P2_1/c (No. 14)
Asymmetric unit:
Sr 0.2127 0.2201 0.2311 (multiplicity 4)  4 O 2.53-2.66
Cu 0.5000 0.0000 0.0000 (multiplicity 2)  4 O 1.97
Se 0.0781 0.7491 0.0698 (multiplicity 4)  3 O 1.68-1.76
Cl 0.4298 0.6409 0.8851 (multiplicity 4)  1 Cu 2.73, 2 Sr 2.96-3.04
O 0.1204 0.0587 0.8999 (multiplicity 4)  1 Se 1.76, 1 Cu 1.97
O 0.1235 0.5939 0.1773 (multiplicity 4)  1 Se 1.68
O 0.3852 0.6104 0.6159 (multiplicity 4)  1 Se 1.75

Properties
Calculated density (Mg/m³): 4.50
D(E_F) (states/eV per cell): 0.0



Computed, not measured: a crystal of YCu3Se2ClO8 relaxed with PBEsol at the SCAN level of DFT.

a b c (Å): 6.2687 9.4304 6.9212
angles (deg): 90.00 90.00 90.00
Closest atoms and distances in Å follow each position.
Space group Pmmn (No. 59, origin choice 2)
Asymmetric unit:
Y 0.2500 0.2500 0.2334 (multiplicity 2)  8 O 2.28-2.44
Cu 0.0000 0.0000 0.5000 (multiplicity 4)  4 O 1.89-2.00
Cu 0.2500 0.2500 0.7060 (multiplicity 2)  4 O 1.91-1.95
Se 0.2500 0.5613 0.9136 (multiplicity 4)  3 O 1.72-1.73
Cl 0.2500 0.7500 0.3494 (multiplicity 2)  6 Cu 3.02-3.16
O 0.0361 0.5884 0.7606 (multiplicity 8)  1 Se 1.73
O 0.2500 0.1116 0.5040 (multiplicity 4)  3 Cu 1.89-1.91
O 0.2500 0.1213 0.9271 (multiplicity 4)  1 Se 1.72

Properties
Calculated density (Mg/m³): 4.88



Calculated values (eV/atom) of electronic total energy for the records, taken in order: -8.7954; -11.4931; -11.5706; -11.5132; -13.5890; -12.8632.
Calculated values (eV per atom) of formation energy (no corrections) for the records, taken in order: 0.61; -0.79; -0.83; -0.81; -1.80; -1.43.